# 1
DFT (PBE) results for an optimized crystal structure of SmHoLuSc.

## Properties
Calculated volume ... 475.4 Å³/cell
Crystal system ... cubic
Uncorrected energy ... -79.0 eV for the cell shown
Density ... 7.477 g/cm³
Size of the total moment ... 0.00 Bohr magnetons per cell

```
SmHoLuSc
1.0
7.8048 0.0000 0.0000
0.0000 7.8048 0.0000
0.0000 0.0000 7.8048
Sm Ho Lu Sc
4 4 4 4
direct
0.0000 0.0000 0.0000 Sm
0.0000 0.5000 0.5000 Sm
0.5000 0.0000 0.5000 Sm
0.5000 0.5000 0.0000 Sm
0.0000 0.0000 0.5000 Ho
0.0000 0.5000 0.0000 Ho
0.5000 0.0000 0.0000 Ho
0.5000 0.5000 0.5000 Ho
0.2500 0.2500 0.2500 Lu
0.2500 0.7500 0.7500 Lu
0.7500 0.2500 0.7500 Lu
0.7500 0.7500 0.2500 Lu
0.2500 0.2500 0.7500 Sc
0.2500 0.7500 0.2500 Sc
0.7500 0.2500 0.2500 Sc
0.7500 0.7500 0.7500 Sc
```



# 2
DFT (PBE) results for an optimized crystal structure of Nd2ThTe4.

## Properties
Calculated volume ... 503.6 Å³/cell
Crystal system ... orthorhombic
Uncorrected energy ... -77.9 eV for the cell shown
Density ... 6.798 g/cm³
Offset from the most stable computed form ... 0.000 eV/f.u.
Raw formation energy ... -908 kJ/mol of formula units
Size of the total moment ... 0.00 Bohr magnetons per cell

```
Nd2ThTe4
1.0
8.9983 0.0000 0.0000
0.0000 12.5678 0.0000
0.0000 0.0000 4.4533
Nd Th Te
4 2 8
direct
0.2500 0.2500 0.0000 Nd
0.2500 0.7500 0.0000 Nd
0.7500 0.2500 0.0000 Nd
0.7500 0.7500 0.0000 Nd
0.0000 0.0000 0.5000 Th
0.5000 0.5000 0.5000 Th
0.0000 0.2571 0.5000 Te
0.0000 0.7429 0.5000 Te
0.2465 0.5000 0.0000 Te
0.2535 0.0000 0.0000 Te
0.5000 0.2429 0.5000 Te
0.5000 0.7571 0.5000 Te
0.7465 0.0000 0.0000 Te
0.7535 0.5000 0.0000 Te
```



Question: Which value of calculated volume does entry 2 give?
Answer: 503.6 Å³/cell



Repeat the first record exactly.
DFT (PBE) results for an optimized crystal structure of SmHoLuSc.

## Properties
Calculated volume ... 475.4 Å³/cell
Crystal system ... cubic
Uncorrected energy ... -79.0 eV for the cell shown
Density ... 7.477 g/cm³
Size of the total moment ... 0.00 Bohr magnetons per cell

```
SmHoLuSc
1.0
7.8048 0.0000 0.0000
0.0000 7.8048 0.0000
0.0000 0.0000 7.8048
Sm Ho Lu Sc
4 4 4 4
direct
0.0000 0.0000 0.0000 Sm
0.0000 0.5000 0.5000 Sm
0.5000 0.0000 0.5000 Sm
0.5000 0.5000 0.0000 Sm
0.0000 0.0000 0.5000 Ho
0.0000 0.5000 0.0000 Ho
0.5000 0.0000 0.0000 Ho
0.5000 0.5000 0.5000 Ho
0.2500 0.2500 0.2500 Lu
0.2500 0.7500 0.7500 Lu
0.7500 0.2500 0.7500 Lu
0.7500 0.7500 0.2500 Lu
0.2500 0.2500 0.7500 Sc
0.2500 0.7500 0.2500 Sc
0.7500 0.2500 0.2500 Sc
0.7500 0.7500 0.7500 Sc
```



Question: Look up the size of the total moment of the first one.
Answer: 0.00 Bohr magnetons per cell